KTbSb2Au2 (GGA-PBE, optimized geometry); DOS(E_F) = 1.84 states/eV per cell; energy relative to the elements, uncorrected = -405 kJ/mol of formula units
1.0
4.661 0.000 0.000
-2.331 4.037 0.000
0.000 0.000 9.222
K Tb Sb Au
1 1 2 2
Direct
0.000 0.000 0.000 K
0.000 0.000 0.500 Tb
0.333 0.667 0.729 Sb
0.667 0.333 0.271 Sb
0.333 0.667 0.326 Au
0.667 0.333 0.674 Au